# 1
Computed, not measured: Sc2TiBe after structural relaxation at the PBE level of DFT.

Properties
The value obtained for the calculated formation energy is 0.391 eV/atom. The raw total energy comes out at -5.680 eV per atom.

Cell: 7.370 7.370 5.554 Å, 90.00 90.00 90.00°
Space group I-42d (No. 122)
Inequivalent atoms, fractional coordinates:
Sc  0.210  0.750  0.125
Ti  0.000  0.000  0.500
Be  0.000  0.000  0.000

---

# 2
Computed, not measured: ScTiBe3 after structural relaxation at the PBE level of DFT.

Properties
The value obtained for the calculated formation energy is 0.944 eV/atom. The raw total energy comes out at -4.137 eV per atom. The value obtained for the energy above the lowest structure with this stoichiometry is 0 meV/atom.

Cell: 4.355 4.355 4.355 Å, 90.00 90.00 90.00°
Space group Pm-3m (No. 221)
Inequivalent atoms, fractional coordinates:
Sc  0.000  0.000  0.000
Ti  0.500  0.500  0.500
Be  0.000  0.500  0.500

---

# 3
Computed, not measured: Zr2ScTiBe after structural relaxation at the PBE level of DFT.

Properties
The value obtained for the calculated formation energy is 1.056 eV/atom. The raw total energy comes out at -5.954 eV per atom.

Cell: 4.933 4.933 4.838 Å, 90.00 90.00 90.00°
Space group P4/mmm (No. 123)
Inequivalent atoms, fractional coordinates:
Zr  0.000  0.500  0.000
Sc  0.000  0.000  0.500
Ti  0.000  0.000  0.000
Be  0.500  0.500  0.500

---

# 4
Computed, not measured: ScBe2Tl after structural relaxation at the PBE level of DFT.

Properties
The value obtained for the calculated formation energy is 0.213 eV/atom. The raw total energy comes out at -3.824 eV per atom. The value obtained for the energy above the lowest structure with this stoichiometry is 152 meV/atom.

Cell: 4.202 4.202 3.671 Å, 90.00 90.00 90.00°
Space group P4/mmm (No. 123)
Inequivalent atoms, fractional coordinates:
Sc  0.000  0.000  0.000
Be  0.000  0.500  0.500
Tl  0.500  0.500  0.000

---

# 5
Computed, not measured: ScBeTl2 after structural relaxation at the PBE level of DFT.

Properties
The value obtained for the calculated formation energy is 0.235 eV/atom. The raw total energy comes out at -3.463 eV per atom.

Cell: 3.418 4.325 5.911 Å, 90.00 97.43 90.00°
Space group P2/m (No. 10)
Inequivalent atoms, fractional coordinates:
Sc  0.000  0.000  0.000
Be  0.500  0.000  0.500
Tl  0.357  0.500  0.734

---

# 6
Computed, not measured: ScBe2Tl after structural relaxation at the PBE level of DFT.

Properties
The value obtained for the calculated formation energy is 0.291 eV/atom. The raw total energy comes out at -3.747 eV per atom. The value obtained for the energy above the lowest structure with this stoichiometry is 229 meV/atom.

Cell: 6.283 6.283 6.283 Å, 90.00 90.00 90.00°
Space group Fm-3m (No. 225)
Inequivalent atoms, fractional coordinates:
Sc  0.000  0.000  0.000
Be  0.250  0.250  0.250
Tl  0.000  0.000  0.500